First-principles (PBE) data for a relaxed LiAl2Cd2 crystal, as listed in the Alexandria database.

Lattice parameters (Å, degrees): 6.895 6.895 6.895 144.05 144.05 51.75
Fractional coordinates of all 5 atoms:
Li  0.000  0.000  0.000
Al  0.398  0.398  0.000
Al  0.602  0.602  0.000
Cd  0.250  0.750  0.500
Cd  0.750  0.250  0.500

Values from the calculation:
Formation energy from the elements, eV per atom: 0.12
SG: No. 139



First-principles (PBE) data for a relaxed Li5Al2Cd crystal, as listed in the Alexandria database.

Lattice parameters (Å, degrees): 8.854 8.854 8.854 153.66 153.66 37.59
Fractional coordinates of all 8 atoms:
Li  0.000  0.000  0.000
Li  0.131  0.631  0.500
Li  0.369  0.869  0.500
Li  0.631  0.131  0.500
Li  0.869  0.369  0.500
Al  0.249  0.249  0.000
Al  0.751  0.751  0.000
Cd  0.500  0.500  0.000

Values from the calculation:
Formation energy from the elements, eV per atom: -0.16
SG: No. 139



Number 1: DFT total energy -0.0782 Ha/atom, total magnetic moment 0.0 μB/f.u.. Number 2: DFT total energy -0.0883 Ha/atom, total magnetic moment 0.0 μB/f.u..